# 1
# ReSbI3

Crystalline ReSbI3 at its relaxed geometry (PBE, the Alexandria database).

Cell: 5.4406 5.4406 5.4406 Å, 90.00 90.00 90.00°
Closest atoms and distances in Å follow each position.
Positions (direct):
Re (0.0000, 0.0000, 0.0000)  6 I 2.72
Sb (0.5000, 0.5000, 0.5000)  12 I 3.85
I (0.0000, 0.0000, 0.5000)  2 Re 2.72
I (0.0000, 0.5000, 0.0000)  2 Re 2.72
I (0.5000, 0.0000, 0.0000)  2 Re 2.72

Crystal system: cubic
SG: Pm-3m (221)
Energy relative to the lowest polymorph listed for this composition in eV per atom: 0.000


# 2
# LaTb2Pm4Dy

Crystalline LaTb2Pm4Dy at its relaxed geometry (PBE, the Alexandria database).

Cell: 6.2609 3.6396 12.0428 Å, 90.00 100.20 90.00°
Closest atoms and distances in Å follow each position.
Positions (direct):
La (0.0000, 0.0000, 0.0000)  4 Dy 3.62, 2 La 3.64, 6 Pm 3.65-3.66
Tb (0.0000, 0.5000, 0.5000)  6 Pm 3.60-3.61, 6 Tb 3.62-3.64
Tb (0.5000, 0.0000, 0.5000)  6 Pm 3.59-3.61, 6 Tb 3.62-3.64
Pm (0.2501, 0.0000, 0.7484)  3 Tb 3.61, 6 Pm 3.62-3.64, 2 Dy 3.64, 1 La 3.65
Pm (0.2512, 0.5000, 0.2536)  3 Tb 3.59-3.60, 6 Pm 3.62-3.64, 2 La 3.66, 1 Dy 3.67
Pm (0.7488, 0.5000, 0.7464)  3 Tb 3.59-3.60, 6 Pm 3.62-3.64, 2 La 3.66, 1 Dy 3.67
Pm (0.7499, 0.0000, 0.2516)  3 Tb 3.61, 6 Pm 3.62-3.64, 2 Dy 3.64, 1 La 3.65
Dy (0.5000, 0.5000, 0.0000)  4 La 3.62, 2 Dy 3.64, 6 Pm 3.64-3.67

Crystal system: monoclinic
SG: P2/m (10)
Final energy in eV for the cell shown: -37.649


# 3
# SrSnSe2

Crystalline SrSnSe2 at its relaxed geometry (PBE, the Alexandria database).

Cell: 4.3952 4.3952 6.2309 Å, 90.02 90.02 89.54°
Closest atoms and distances in Å follow each position.
Positions (direct):
Sr (0.0000, 0.0000, 0.0000)  6 Se 3.10-3.13
Sn (0.5191, 0.5191, 0.4802)  4 Se 2.85-3.11
Se (0.5019, 0.5019, 0.0212)  1 Sn 2.86, 4 Sr 3.10-3.13
Se (0.9762, 0.9762, 0.4977)  3 Sn 2.85-3.11, 2 Sr 3.10-3.13

Crystal system: monoclinic
SG: Cm (8)
Final energy in eV for the cell shown: -17.692